1.
VASP calculation (PBE-GGA) on a relaxed structure of AlSnOs3.

Structure (extended XYZ):
```
5
Lattice="4.463 0.000 0.000 0.000 4.463 0.000 0.000 0.000 4.463" Properties=species:S:1:pos:R:3 pbc="T T T"
Al 0.000 0.000 0.000
Sn 2.232 2.232 2.232
Os 0.000 0.000 2.232
Os 0.000 2.232 0.000
Os 2.232 0.000 0.000
```

## Properties
- calculated total energy (eV per atom) = -6.88
- energy relative to the lowest polymorph listed for this composition (meV per atom) = 0
- crystal system = cubic
- volume (Å³/cell) = 88.91

2.
VASP calculation (PBE-GGA) on a relaxed structure of TlCo2Pd.

Structure (extended XYZ):
```
8
Lattice="-1.911 1.911 9.387 1.911 -1.911 9.387 1.911 1.911 -9.387" Properties=species:S:1:pos:R:3 pbc="T T T"
Tl 0.000 0.000 0.000
Tl 0.000 1.911 4.693
Co 0.955 -0.656 7.040
Co 1.255 0.955 2.347
Co 0.955 2.567 -2.347
Co 0.656 0.955 11.734
Pd 1.911 0.000 4.693
Pd 0.000 0.000 9.387
```

## Properties
- calculated total energy (eV per atom) = -4.88
- energy relative to the lowest polymorph listed for this composition (meV per atom) = 209
- crystal system = tetragonal
- volume (Å³/cell) = 137.08

3.
VASP calculation (PBE-GGA) on a relaxed structure of ZnAsBr.

Structure (extended XYZ):
```
3
Lattice="0.000 3.287 3.287 3.287 0.000 3.287 3.287 3.287 0.000" Properties=species:S:1:pos:R:3 pbc="T T T"
Zn 0.000 0.000 0.000
As 1.643 1.643 1.643
Br 4.930 4.930 4.930
```

## Properties
- energy relative to the elements, uncorrected (eV/atom) = 0.42
- calculated total energy (eV per atom) = -2.11
- energy relative to the lowest polymorph listed for this composition (meV per atom) = 666
- crystal system = cubic
- volume (Å³/cell) = 71.00

4.
VASP calculation (PBE-GGA) on a relaxed structure of TcRh2Br.

Structure (extended XYZ):
```
4
Lattice="0.000 3.183 3.183 3.183 0.000 3.183 3.183 3.183 0.000" Properties=species:S:1:pos:R:3 pbc="T T T"
Tc 0.000 0.000 0.000
Rh 1.592 1.592 1.592
Rh 4.775 4.775 4.775
Br 3.183 3.183 3.183
```

## Properties
- energy relative to the elements, uncorrected (eV/atom) = 0.87
- calculated total energy (eV per atom) = -5.82
- energy relative to the lowest polymorph listed for this composition (meV per atom) = 530
- crystal system = cubic
- volume (Å³/cell) = 64.52

5.
VASP calculation (PBE-GGA) on a relaxed structure of TiCoSb.

Structure (extended XYZ):
```
6
Lattice="2.981 0.000 0.000 0.000 3.882 0.000 0.000 0.000 8.684" Properties=species:S:1:pos:R:3 pbc="T T T"
Ti 0.000 0.000 0.000
Ti 0.000 1.941 4.342
Co 1.490 0.000 3.166
Co 1.490 0.000 5.518
Sb 1.490 1.941 1.638
Sb 1.490 1.941 7.046
```

## Properties
- energy relative to the elements, uncorrected (eV/atom) = -0.11
- calculated total energy (eV per atom) = -6.49
- crystal system = orthorhombic
- volume (Å³/cell) = 100.49

6.
VASP calculation (PBE-GGA) on a relaxed structure of HoTeS4.

Structure (extended XYZ):
```
12
Lattice="6.221 0.000 0.000 0.000 6.747 0.000 -0.810 0.000 6.818" Properties=species:S:1:pos:R:3 pbc="T T T"
Ho 0.000 0.000 0.000
Ho -0.405 3.373 3.409
Te 2.706 0.000 3.409
Te 3.110 3.373 0.000
S 0.596 1.093 2.437
S 0.191 2.281 5.846
S 1.580 4.856 1.752
S 1.175 5.264 5.161
S 4.236 1.483 1.657
S 3.831 1.891 5.066
S 5.220 4.466 0.972
S 4.815 5.654 4.381
```

## Properties
- energy relative to the elements, uncorrected (eV/atom) = -0.60
- calculated total energy (eV per atom) = -4.64
- crystal system = monoclinic
- volume (Å³/cell) = 286.16

7.
VASP calculation (PBE-GGA) on a relaxed structure of ZrCu2Si.

Structure (extended XYZ):
```
4
Lattice="2.166 -2.170 0.000 2.166 2.170 0.000 0.000 0.000 6.332" Properties=species:S:1:pos:R:3 pbc="T T T"
Zr 0.000 0.000 0.000
Cu 0.000 0.000 3.175
Cu 2.166 0.000 1.873
Si 2.166 0.000 4.432
```

## Properties
- energy relative to the elements, uncorrected (eV/atom) = -0.16
- calculated total energy (eV per atom) = -5.70
- crystal system = orthorhombic
- volume (Å³/cell) = 59.52

8.
VASP calculation (PBE-GGA) on a relaxed structure of SmSi2S6.

Structure (extended XYZ):
```
18
Lattice="6.074 -5.988 0.000 6.074 5.988 0.000 -0.828 0.000 6.096" Properties=species:S:1:pos:R:3 pbc="T T T"
Sm 5.453 4.485 4.572
Sm 5.867 -4.485 1.524
Si 2.993 0.856 4.219
Si 3.408 -0.856 1.171
Si 7.913 0.856 4.925
Si 8.327 -0.856 1.877
S 0.875 0.934 4.049
S 3.609 2.566 5.291
S 1.289 -0.934 1.001
S 4.039 0.878 2.319
S 7.298 2.566 3.854
S 3.625 -0.878 5.368
S 7.696 0.878 0.729
S 4.023 -2.566 2.243
S 7.282 -0.878 3.777
S 10.032 0.934 5.095
S 7.712 -2.566 0.805
S 10.446 -0.934 2.047
```

## Properties
- energy relative to the elements, uncorrected (eV/atom) = -0.82
- calculated total energy (eV per atom) = -5.30
- crystal system = monoclinic
- volume (Å³/cell) = 443.47

Look up the volume of the sixth one. 286.16 Å³/cell

What is the volume in the first record? 88.91 Å³/cell